# 1
Compound: Be2TlNi
Source: Alexandria via LeMat-Bulk
Functional: PBE
Structure: optimized geometry

## Properties
Fermi-level density of states: 1.46 states/eV/cell
energy above the lowest structure with this stoichiometry: 71 meV per atom
SG: R-3m (166)
energy of formation from the pure elements: 0.226 eV/atom

abc: 5.283 5.283 5.283
angles: 42.31 42.31 42.31
Element x y z (fractional)
Be 0.179 0.179 0.179
Be 0.821 0.821 0.821
Tl 0.000 0.000 0.000
Ni 0.500 0.500 0.500

=====

# 2
Compound: PmTl2Br5
Source: Alexandria via LeMat-Bulk
Functional: PBE
Structure: optimized geometry

## Properties
formation energy from raw total energies: -1397 meV per atom
Fermi-level density of states: 0.00 states/eV/cell
SG: Pnma (62)

abc: 13.598 9.199 8.674
angles: 90.00 90.00 90.00
Element x y z (fractional)
Pm 0.006 0.250 0.077
Pm 0.494 0.750 0.577
Pm 0.506 0.250 0.423
Pm 0.994 0.750 0.923
Tl 0.172 0.004 0.561
Tl 0.172 0.496 0.561
Tl 0.328 0.504 0.061
Tl 0.328 0.996 0.061
Tl 0.672 0.004 0.939
Tl 0.672 0.496 0.939
Tl 0.828 0.504 0.439
Tl 0.828 0.996 0.439
Br 0.008 0.250 0.419
Br 0.072 0.546 0.167
Br 0.072 0.954 0.167
Br 0.184 0.250 0.887
Br 0.204 0.750 0.844
Br 0.296 0.250 0.344
Br 0.316 0.750 0.387
Br 0.428 0.046 0.667
Br 0.428 0.454 0.667
Br 0.492 0.750 0.919
Br 0.508 0.250 0.081
Br 0.572 0.546 0.333
Br 0.572 0.954 0.333
Br 0.684 0.250 0.613
Br 0.704 0.750 0.656
Br 0.796 0.250 0.156
Br 0.816 0.750 0.113
Br 0.928 0.046 0.833
Br 0.928 0.454 0.833
Br 0.992 0.750 0.581